{"formula": "Ac2BMoO6", "functional": "GGA+U", "state": "optimized geometry", "crystal_system": "triclinic", "energy_ev_per_atom": -7.649, "magmom_total_mub_per_fu": 3.0, "lattice_angstrom": [[-4.432, -1.134, -3.884], [-0.403, -5.966, -0.387], [-4.962, -4.204, 1.433]], "species": ["Ac", "Ac", "B", "Mo", "O", "O", "O", "O", "O", "O"], "frac_coords": [[0.737, 0.250, 0.463], [0.263, 0.750, 0.537], [0.500, 0.500, 0.000], [0.000, 0.000, 0.000], [0.283, 0.339, 0.542], [0.864, 0.829, 0.878], [0.357, 0.719, 0.929], [0.643, 0.281, 0.071], [0.136, 0.171, 0.122], [0.717, 0.661, 0.458]]}